No. 1
The following is a PBE calculation of an optimized crystal structure of LaZrTc2, from the Alexandria database.

Calculated values
ΔH_f (0 K) (eV per atom): 0.06
Size of the total moment (μB per cell): 0.000

Cell lengths 3.3959, 3.3959, 6.8883 Å; angles 90.00, 90.00, 90.00 degrees
With the nearest neighbours (Å) after each atom.
Space group P4/mmm (No. 123)
Inequivalent atoms, fractional coordinates:
La (0.0000, 0.0000, 0.0000) (multiplicity 1)  8 Tc 3.04, 4 La 3.40
Zr (0.0000, 0.0000, 0.5000) (multiplicity 1)  8 Tc 2.88
Tc (0.5000, 0.5000, 0.2695) (multiplicity 2)  4 Zr 2.88, 4 La 3.04, 1 Tc 3.18

=====

No. 2
The following is a PBE calculation of an optimized crystal structure of Li2AcPm, from the Alexandria database.

Calculated values
ΔH_f (0 K) (eV per atom): 0.14
Size of the total moment (μB per cell): 0.088

Cell lengths 7.8576, 7.8576, 7.8576 Å; angles 90.00, 90.00, 90.00 degrees
With the nearest neighbours (Å) after each atom.
Space group Fm-3m (No. 225)
Inequivalent atoms, fractional coordinates:
Li (0.2500, 0.2500, 0.2500) (multiplicity 8)  4 Ac 3.40, 4 Pm 3.40
Ac (0.0000, 0.0000, 0.0000) (multiplicity 4)  8 Li 3.40
Pm (0.0000, 0.0000, 0.5000) (multiplicity 4)  8 Li 3.40

=====

No. 3
The following is a PBE calculation of an optimized crystal structure of Sr2Cd3Ag5, from the Alexandria database.

Calculated values
ΔH_f (0 K) (eV per atom): -0.20
Size of the total moment (μB per cell): 0.000

Cell lengths 11.3163, 14.2714, 6.2274 Å; angles 90.00, 90.00, 90.00 degrees
With the nearest neighbours (Å) after each atom.
Space group Ibam (No. 72)
Inequivalent atoms, fractional coordinates:
Sr (0.2276, 0.1356, 0.0000) (multiplicity 8)  7 Ag 3.34-3.58, 4 Cd 3.49-3.70
Cd (0.0000, 0.5000, 0.2500) (multiplicity 4)  6 Ag 2.88-2.90, 2 Cd 3.11
Cd (0.0890, 0.1497, 0.5000) (multiplicity 8)  5 Ag 2.78-2.83
Ag (0.0000, 0.0000, 0.2500) (multiplicity 4)  4 Cd 2.83, 2 Ag 3.11
Ag (0.0000, 0.2983, 0.2500) (multiplicity 8)  3 Cd 2.82-2.88, 4 Ag 2.88-3.11
Ag (0.1731, 0.3976, 0.0000) (multiplicity 8)  3 Cd 2.78-2.90, 2 Ag 2.88

=====

No. 4
The following is a PBE calculation of an optimized crystal structure of ErPuTe, from the Alexandria database.

Calculated values
Uncorrected formation energy (kJ/mol of formula units): -106.7
Size of the total moment (μB per cell): 6.344

Cell lengths 5.1454, 5.1454, 3.8129 Å; angles 90.00, 90.00, 120.00 degrees
With the nearest neighbours (Å) after each atom.
Space group P3m1 (No. 156)
Inequivalent atoms, fractional coordinates:
Er (0.0000, 0.0000, 0.0000) (multiplicity 1)  3 Te 2.97
Pu (0.3333, 0.6667, 0.5007) (multiplicity 1)  6 Te 3.53, 6 Er 3.53, 2 Pu 3.81
Te (0.6667, 0.3333, 0.0029) (multiplicity 1)  3 Er 2.97

=====

No. 5
The following is a PBE calculation of an optimized crystal structure of NaInHgI4, from the Alexandria database.

Calculated values
Uncorrected formation energy (kJ/mol of formula units): -418.3
Size of the total moment (μB per cell): 0.000

Cell lengths 14.8913, 8.5069, 11.6130 Å; angles 90.00, 113.77, 90.00 degrees
With the nearest neighbours (Å) after each atom.
Space group C2/m (No. 12)
Inequivalent atoms, fractional coordinates:
Na (0.1760, 0.0000, 0.4167) (multiplicity 4)  5 I 3.12-3.34
In (0.1805, 0.0000, 0.7808) (multiplicity 4)  4 I 2.70-2.82
Hg (0.0616, 0.5000, 0.3019) (multiplicity 4)  4 I 3.72-4.12, 1 Na 3.96
I (0.0141, 0.0000, 0.8309) (multiplicity 4)  1 In 2.76
I (0.1513, 0.5000, 0.0090) (multiplicity 4)  1 In 2.70
I (0.1617, 0.2524, 0.6155) (multiplicity 8)  1 In 2.82

=====

No. 6
The following is a PBE calculation of an optimized crystal structure of CeGe2Sb, from the Alexandria database.

Calculated values
Uncorrected formation energy (kJ/mol of formula units): -200.8
Size of the total moment (μB per cell): 0.000

Cell lengths 4.5300, 4.5300, 4.3598 Å; angles 90.00, 90.00, 90.00 degrees
With the nearest neighbours (Å) after each atom.
Space group P4/mmm (No. 123)
Inequivalent atoms, fractional coordinates:
Ce (0.0000, 0.0000, 0.0000) (multiplicity 1)  8 Ge 3.14, 4 Sb 3.20
Ge (0.0000, 0.5000, 0.5000) (multiplicity 2)  4 Ce 3.14, 4 Sb 3.14, 4 Ge 3.20
Sb (0.5000, 0.5000, 0.0000) (multiplicity 1)  8 Ge 3.14, 4 Ce 3.20

=====

No. 7
The following is a PBE calculation of an optimized crystal structure of NdIrC, from the Alexandria database.

Calculated values
ΔH_f (0 K) (eV per atom): -0.06
Size of the total moment (μB per cell): 0.001

Cell lengths 3.3892, 3.3892, 5.1303 Å; angles 90.00, 90.00, 120.00 degrees
With the nearest neighbours (Å) after each atom.
Space group P3m1 (No. 156)
Inequivalent atoms, fractional coordinates:
Nd (0.0000, 0.0000, 0.0000) (multiplicity 1)  3 C 2.67
Ir (0.6667, 0.3333, 0.4741) (multiplicity 1)  3 C 2.05
C (0.3333, 0.6667, 0.3541) (multiplicity 1)  3 Ir 2.05

=====

No. 8
The following is a PBE calculation of an optimized crystal structure of Ba2AlAs, from the Alexandria database.

Calculated values
ΔH_f (0 K) (eV per atom): -0.30
Size of the total moment (μB per cell): 0.000

Cell lengths 4.8244, 4.8244, 11.4707 Å; angles 90.00, 90.00, 90.00 degrees
With the nearest neighbours (Å) after each atom.
Space group I-4m2 (No. 119)
Inequivalent atoms, fractional coordinates:
Ba (0.0000, 0.0000, 0.0000) (multiplicity 2)  4 As 3.41, 4 Ba 3.75, 4 Al 3.75
Ba (0.0000, 0.5000, 0.2500) (multiplicity 2)  4 Al 3.41, 4 Ba 3.75, 4 As 3.75
Al (0.0000, 0.5000, 0.7500) (multiplicity 2)  8 Ba 3.41-3.75, 4 As 3.75
As (0.0000, 0.0000, 0.5000) (multiplicity 2)  8 Ba 3.41-3.75, 4 Al 3.75

=====

No. 9
The following is a PBE calculation of an optimized crystal structure of Ac8TlRu4, from the Alexandria database.

Calculated values
ΔH_f (0 K) (eV per atom): -0.13
Size of the total moment (μB per cell): 0.000

Cell lengths 13.7313, 8.8923, 10.3065 Å; angles 90.00, 131.18, 90.00 degrees
With the nearest neighbours (Å) after each atom.
Space group C2/m (No. 12)
Inequivalent atoms, fractional coordinates:
Ac (0.0618, 0.2252, 0.3305) (multiplicity 8)  3 Ru 2.92-3.10
Ac (0.1871, 0.0000, 0.1345) (multiplicity 4)  3 Ru 2.96-3.02
Ac (0.1930, 0.5000, 0.1774) (multiplicity 4)  3 Ru 2.99-3.18
Tl (0.0000, 0.5000, 0.5000) (multiplicity 2)  2 Ru 2.89
Ru (0.0000, 0.2493, 0.0000) (multiplicity 4)  6 Ac 2.93-2.99
Ru (0.2112, 0.5000, 0.5016) (multiplicity 4)  1 Tl 2.89, 6 Ac 2.92-3.18

=====

No. 10
The following is a PBE calculation of an optimized crystal structure of Ca2TiRu, from the Alexandria database.

Calculated values
ΔH_f (0 K) (eV per atom): 0.42
Size of the total moment (μB per cell): 0.001

Cell lengths 10.8505, 10.8505, 4.5169 Å; angles 90.00, 90.00, 90.00 degrees
With the nearest neighbours (Å) after each atom.
Space group I-42d (No. 122)
Inequivalent atoms, fractional coordinates:
Ca (0.0889, 0.7500, 0.1250) (multiplicity 8)  2 Ru 2.93
Ti (0.0000, 0.0000, 0.5000) (multiplicity 4)  2 Ru 2.26
Ru (0.0000, 0.0000, 0.0000) (multiplicity 4)  2 Ti 2.26

=====

No. 11
The following is a PBE calculation of an optimized crystal structure of PrSbTe2O, from the Alexandria database.

Calculated values
Uncorrected formation energy (kJ/mol of formula units): -693.4
Size of the total moment (μB per cell): 0.000

Cell lengths 4.2427, 4.2427, 15.8086 Å; angles 90.00, 90.00, 90.00 degrees
With the nearest neighbours (Å) after each atom.
Space group P4/nmm (No. 129, origin choice 2)
Inequivalent atoms, fractional coordinates:
Pr (0.2500, 0.2500, 0.0724) (multiplicity 2)  4 O 2.41
Sb (0.2500, 0.2500, 0.6367) (multiplicity 2)  5 Te 2.80-3.06
Te (0.2500, 0.2500, 0.4016) (multiplicity 2)  4 Sb 3.06
Te (0.2500, 0.2500, 0.8142) (multiplicity 2)  1 Sb 2.80
O (0.2500, 0.7500, 0.0000) (multiplicity 2)  4 Pr 2.41

=====

No. 12
The following is a PBE calculation of an optimized crystal structure of SiTeNO2, from the Alexandria database.

Calculated values
Uncorrected formation energy (kJ/mol of formula units): -304.1
Size of the total moment (μB per cell): 0.000

Cell lengths 3.5928, 3.5928, 3.9449 Å; angles 90.00, 90.00, 90.00 degrees
With the nearest neighbours (Å) after each atom.
Space group P4/mmm (No. 123)
Inequivalent atoms, fractional coordinates:
Si (0.0000, 0.0000, 0.0000) (multiplicity 1)  4 O 1.80, 2 N 1.97
Te (0.5000, 0.5000, 0.5000) (multiplicity 1)  4 N 2.54, 8 O 2.67
N (0.0000, 0.0000, 0.5000) (multiplicity 1)  2 Si 1.97
O (0.0000, 0.5000, 0.0000) (multiplicity 2)  2 Si 1.80

=====

Question: Number 12 is which compound?
Answer: SiTeNO2